# LaWO2, relaxed, DFT GGA+U
data_LaWO2
_space_group_name_H-M_alt 'I -4 2 d'
_space_group_IT_number 122
_space_group_name_Hall 'I -4 2bw'
_cell_length_a 4.655
_cell_length_b 4.655
_cell_length_c 12.677
_cell_angle_alpha 90.00
_cell_angle_beta 90.00
_cell_angle_gamma 90.00
loop_
_atom_site_label
_atom_site_type_symbol
_atom_site_fract_x
_atom_site_fract_y
_atom_site_fract_z
La1 La 0.000 0.000 0.000
W1 W 0.000 0.000 0.500
O1 O 0.140 0.250 0.625
# Energy relative to the lowest polymorph listed for this composition in meV per atom: 271
# E_tot in eV/atom: -6.938
# Theoretical density in Mg/m³: 8.58